# 1
Density functional theory data (PBE-GGA) for a relaxed La3HoTh2 crystal.

Output
Electronic total energy   -5.659 eV/atom
Energy above the most stable polymorph in this dataset   0 meV per atom
Calculated formation energy   0.04 eV per atom
SG   P2_1/m, No. 11

Cell: 3.6334 10.3187 10.8888 Å, 90.30 90.00 90.00°
Last column: nearest neighbours and their distance in Å.
Fractional coordinates of all 12 atoms:
Ho (0.7500, 0.1249, 0.2511)  5 La 3.54-3.70, 5 Th 3.56-3.68, 2 Ho 3.63
La (0.2500, 0.8650, 0.4147)  6 La 3.57-3.80, 3 Th 3.62-3.63, 3 Ho 3.64-3.70
Ho (0.2500, 0.8751, 0.7489)  5 La 3.54-3.70, 5 Th 3.56-3.68, 2 Ho 3.63
Th (0.7500, 0.1126, 0.9179)  4 Th 3.46-3.63, 3 Ho 3.56-3.63, 5 La 3.59-3.75
Th (0.2500, 0.3809, 0.4187)  4 Th 3.53-3.63, 6 La 3.61-3.67, 2 Ho 3.68
Th (0.7500, 0.6191, 0.5813)  4 Th 3.53-3.63, 6 La 3.61-3.67, 2 Ho 3.68
La (0.7500, 0.1350, 0.5853)  6 La 3.57-3.80, 3 Th 3.62-3.63, 3 Ho 3.64-3.70
La (0.7500, 0.6233, 0.2489)  7 La 3.57-3.74, 5 Th 3.61-3.75
Th (0.2500, 0.8874, 0.0821)  4 Th 3.46-3.63, 3 Ho 3.56-3.63, 5 La 3.59-3.75
La (0.2500, 0.3583, 0.0823)  2 Ho 3.54, 3 Th 3.59-3.67, 7 La 3.61-3.89
La (0.7500, 0.6417, 0.9177)  2 Ho 3.54, 3 Th 3.59-3.67, 7 La 3.61-3.89
La (0.2500, 0.3767, 0.7511)  7 La 3.57-3.74, 5 Th 3.61-3.75

# 2
Density functional theory data (PBE-GGA) for a relaxed La4Ho3Th crystal.

Output
Electronic total energy   -4.743 eV/atom
Calculated formation energy   0.36 eV per atom
SG   Cmmm, No. 65

Cell: 3.4460 8.9888 8.9888 Å, 96.91 90.00 90.00°
Last column: nearest neighbours and their distance in Å.
Fractional coordinates of all 8 atoms:
Ho (0.0000, 0.5000, 0.0000)  6 La 3.37-3.44, 2 Ho 3.45
La (0.0000, 0.7589, 0.7589)  2 Th 3.35, 4 Ho 3.37-3.54, 2 La 3.45
Ho (0.5000, 0.5000, 0.5000)  6 La 3.34-3.54, 2 Ho 3.45
Th (0.5000, 0.0000, 0.0000)  6 La 3.35-3.39, 2 Th 3.45
La (0.5000, 0.2518, 0.7482)  5 Ho 3.34-3.44, 1 Th 3.39, 2 La 3.45
La (0.0000, 0.2411, 0.2411)  2 Th 3.35, 4 Ho 3.37-3.54, 2 La 3.45
Ho (0.0000, 0.0000, 0.5000)  6 La 3.37-3.44, 2 Ho 3.45
La (0.5000, 0.7482, 0.2518)  5 Ho 3.34-3.44, 1 Th 3.39, 2 La 3.45

# 3
Density functional theory data (PBE-GGA) for a relaxed La3Ho6Th crystal.

Output
Electronic total energy   -4.650 eV/atom
Energy above the most stable polymorph in this dataset   198 meV per atom
Calculated formation energy   0.32 eV per atom
SG   R3, No. 146

Cell: 9.9350 9.9350 6.9476 Å, 44.36 44.36 60.00°
Last column: nearest neighbours and their distance in Å.
Fractional coordinates of all 10 atoms:
Ho (0.2249, 0.9001, 0.2988)  1 Th 3.22, 2 La 3.47-3.48
Ho (0.9001, 0.5762, 0.2988)  1 Th 3.22, 2 La 3.47-3.48
La (0.6429, 0.6429, 0.0712)  1 La 2.86, 1 Th 3.01
Ho (0.7300, 0.0701, 0.8002)  3 La 3.28-3.50
Th (0.8991, 0.8991, 0.3027)  2 La 3.01-3.04, 3 Ho 3.22
Ho (0.3996, 0.7300, 0.8002)  3 La 3.28-3.50
Ho (0.5762, 0.2249, 0.2988)  1 Th 3.22, 2 La 3.47-3.48
La (0.1573, 0.1573, 0.5281)  1 La 2.85, 1 Th 3.04
Ho (0.0701, 0.3996, 0.8002)  3 La 3.28-3.50
La (0.3997, 0.3997, 0.8009)  2 La 2.85-2.86

# 4
Density functional theory data (PBE-GGA) for a relaxed LaHo12Th5 crystal.

Output
Electronic total energy   -5.342 eV/atom
Calculated formation energy   0.04 eV per atom
SG   C2/m, No. 12

Cell: 10.6144 10.6652 6.1609 Å, 106.70 90.00 60.16°
Last column: nearest neighbours and their distance in Å.
Fractional coordinates of all 18 atoms:
Ho (0.9978, 0.3371, 0.0005)  7 Ho 3.50-3.61, 4 Th 3.51-3.59, 1 La 3.58
Th (0.8313, 0.3373, 0.5079)  10 Ho 3.51-3.59, 1 Th 3.51, 1 La 3.61
Ho (0.8324, 0.0000, 0.5000)  3 Th 3.53-3.58, 7 Ho 3.55-3.59, 2 La 3.56
Ho (0.5011, 0.6670, 0.5002)  7 Ho 3.51-3.57, 5 Th 3.53-3.55
Th (0.5000, 0.0000, 0.5000)  10 Ho 3.53-3.55, 2 Th 3.56
Ho (0.1680, 0.3329, 0.4998)  7 Ho 3.51-3.57, 5 Th 3.54-3.55
Ho (0.1676, 0.0001, 0.5000)  3 Th 3.53-3.58, 7 Ho 3.55-3.59, 2 La 3.56
Ho (0.4990, 0.3330, 0.4998)  7 Ho 3.51-3.57, 5 Th 3.53-3.55
Th (0.6666, 0.6670, 0.9995)  2 Th 3.51-3.56, 10 Ho 3.53-3.55
Th (0.1687, 0.6628, 0.4921)  10 Ho 3.51-3.59, 1 Th 3.52, 1 La 3.61
Ho (0.3380, 0.0000, 0.0000)  7 Ho 3.44-3.61, 4 Th 3.53, 1 La 3.59
Ho (0.3352, 0.6628, 0.9995)  7 Ho 3.50-3.61, 4 Th 3.51-3.59, 1 La 3.58
La (0.0000, 0.0000, 0.0000)  10 Ho 3.56-3.59, 2 Th 3.61
Th (0.3334, 0.3330, 0.0005)  2 Th 3.52-3.56, 10 Ho 3.53-3.55
Ho (0.6620, 0.9999, 0.0000)  7 Ho 3.44-3.61, 4 Th 3.53, 1 La 3.59
Ho (0.8320, 0.6671, 0.5002)  7 Ho 3.51-3.57, 5 Th 3.54-3.55
Ho (0.6649, 0.3372, 0.0005)  7 Ho 3.50-3.61, 4 Th 3.51-3.59, 1 La 3.58
Ho (0.0021, 0.6629, 0.9995)  7 Ho 3.50-3.61, 4 Th 3.51-3.59, 1 La 3.58

# 5
Density functional theory data (PBE-GGA) for a relaxed La12Ho7Th crystal.

Output
Electronic total energy   -4.698 eV/atom
Energy above the most stable polymorph in this dataset   42 meV per atom
Calculated formation energy   0.23 eV per atom
SG   R-3m, No. 166

Cell: 6.3875 11.5313 11.5313 Å, 116.67 100.64 100.64°
Last column: nearest neighbours and their distance in Å.
Fractional coordinates of all 20 atoms:
Ho (0.5000, 0.0000, 0.0000)  2 Th 3.19, 6 Ho 3.41
Ho (0.1202, 0.7502, 0.0004)  1 Th 3.12, 4 La 3.35-3.47, 1 Ho 3.41
La (0.9067, 0.8128, 0.4062)  2 La 3.27, 2 Ho 3.38-3.39
La (0.5749, 0.6443, 0.0004)  1 La 3.28, 4 Ho 3.35-3.65
Ho (0.1198, 0.9996, 0.7498)  1 Th 3.12, 4 La 3.35-3.47, 1 Ho 3.41
La (0.9307, 0.3561, 0.3557)  1 La 3.28, 4 Ho 3.35-3.65
La (0.5005, 0.5938, 0.4066)  2 La 3.27, 2 Ho 3.38-3.39
Ho (0.8798, 0.2498, 0.9996)  1 Th 3.12, 4 La 3.35-3.47, 1 Ho 3.41
Ho (0.6300, 0.7498, 0.7502)  1 Th 3.12, 4 La 3.35-3.47, 1 Ho 3.41
La (0.5745, 0.9996, 0.6439)  1 La 3.28, 4 Ho 3.35-3.65
La (0.9061, 0.4066, 0.8128)  2 La 3.27, 2 Ho 3.38-3.39
Th (0.0000, 0.0000, 0.0000)  8 Ho 3.12-3.19
La (0.0693, 0.6439, 0.6443)  1 La 3.28, 4 Ho 3.35-3.65
Ho (0.3700, 0.2502, 0.2498)  1 Th 3.12, 4 La 3.35-3.47, 1 Ho 3.41
Ho (0.8802, 0.0004, 0.2502)  1 Th 3.12, 4 La 3.35-3.47, 1 Ho 3.41
La (0.4255, 0.0004, 0.3561)  1 La 3.28, 4 Ho 3.35-3.65
La (0.4995, 0.4062, 0.5934)  2 La 3.27, 2 Ho 3.38-3.39
La (0.4251, 0.3557, 0.9996)  1 La 3.28, 4 Ho 3.35-3.65
La (0.0933, 0.1872, 0.5938)  2 La 3.27, 2 Ho 3.38-3.39
La (0.0939, 0.5934, 0.1872)  2 La 3.27, 2 Ho 3.38-3.39

# 6
Density functional theory data (PBE-GGA) for a relaxed La2HoTh2 crystal.

Output
Electronic total energy   -5.826 eV/atom
Calculated formation energy   0.03 eV per atom
SG   R-3m, No. 166

Cell: 3.6137 3.6137 15.0103 Å, 83.09 83.09 60.00°
Last column: nearest neighbours and their distance in Å.
Fractional coordinates of all 5 atoms:
Ho (0.0000, 0.0000, 0.0000)  6 Th 3.55, 6 Ho 3.61
Th (0.3977, 0.3977, 0.8070)  3 Ho 3.55, 3 La 3.55, 6 Th 3.61
La (0.2045, 0.2045, 0.3865)  3 Th 3.55, 9 La 3.61-3.97
Th (0.6023, 0.6023, 0.1930)  3 Ho 3.55, 3 La 3.55, 6 Th 3.61
La (0.7955, 0.7955, 0.6135)  3 Th 3.55, 9 La 3.61-3.97

Which of these has the lowest calculated formation energy?
La2HoTh2